First-principles (PBE) data for a relaxed SrCuNF2 crystal, as listed in the Alexandria database.

```
5
Lattice="4.605 0.000 0.000 0.000 4.605 0.000 0.000 0.000 5.181" Properties=species:S:1:pos:R:3 pbc="T T T"
F 2.303 0.000 0.000
F 0.000 2.303 0.000
Sr 0.000 0.000 0.000
N 0.000 0.000 2.591
Cu 2.303 2.303 2.591
```

- energy above the lowest structure with this stoichiometry (meV/atom) = 758
- total moment (μB/f.u.) = 2.00
- SG = P4/mmm (123)
- uncorrected formation energy (eV per atom) = -0.632
- volume (Å³/cell) = 109.88


First-principles (PBE) data for a relaxed YNbBrF2 crystal, as listed in the Alexandria database.

```
5
Lattice="4.332 0.000 0.000 0.000 6.207 0.000 0.000 0.000 4.332" Properties=species:S:1:pos:R:3 pbc="T T T"
F 2.166 0.000 0.000
Y 0.000 0.000 0.000
F 0.000 0.000 2.166
Nb 2.166 3.104 2.166
Br 0.000 3.104 0.000
```

- energy above the lowest structure with this stoichiometry (meV/atom) = 0
- total moment (μB/f.u.) = 4.68
- SG = P4/mmm (123)
- uncorrected formation energy (eV per atom) = -1.528
- volume (Å³/cell) = 116.51


First-principles (PBE) data for a relaxed TaCdInSiP crystal, as listed in the Alexandria database.

```
5
Lattice="3.605 0.001 -0.007 0.001 5.302 0.063 -1.791 -1.159 5.280" Properties=species:S:1:pos:R:3 pbc="T T T"
Si 0.890 2.528 4.776
Ta -0.913 4.163 3.949
Cd 0.884 4.300 1.549
P 0.890 0.246 4.951
In 2.690 1.546 2.501
```

- energy above the lowest structure with this stoichiometry (meV/atom) = 30
- total moment (μB/f.u.) = 0.00
- SG = Cm (8)
- uncorrected formation energy (eV per atom) = 0.021
- volume (Å³/cell) = 101.12